Computed, not measured: crystalline Ho6AgPt2 at its relaxed geometry at the PBE level of DFT. Values from VASP.

Calculated values
Its space-group type is Immm. The calculation puts the calculated total energy at -5.39 eV/atom. As for the formation energy: -676 meV per atom.

```
&SYSTEM
  ibrav = 0, nat = 18, ntyp = 3
/
ATOMIC_SPECIES
Ho 164.93 Ho.upf
Ag 107.87 Ag.upf
Pt 195.08 Pt.upf
ATOMIC_POSITIONS crystal
Ho 0.045 0.240 0.806
Ho 0.180 0.284 0.464
Ho 0.180 0.716 0.896
Ho 0.330 0.029 0.699
Ho 0.330 0.631 0.301
Ho 0.434 0.240 0.194
Ho 0.566 0.760 0.806
Ho 0.670 0.369 0.699
Ho 0.670 0.971 0.301
Ho 0.820 0.284 0.104
Ho 0.820 0.716 0.536
Ho 0.955 0.760 0.194
Ag 0.000 0.000 0.000
Ag 0.500 0.500 0.000
Pt 0.134 0.634 0.500
Pt 0.337 0.000 0.337
Pt 0.663 0.000 0.663
Pt 0.866 0.366 0.500
CELL_PARAMETERS angstrom
-4.680 4.777 5.170
4.680 -4.777 5.170
4.680 4.777 -5.170
```

Computed, not measured: crystalline Ce2HoAl6 at its relaxed geometry at the PBE level of DFT. Values from VASP.

Calculated values
Its space-group type is P6/mmm. The calculation puts the calculated total energy at -4.76 eV/atom. As for the formation energy: -435 meV per atom.

```
&SYSTEM
  ibrav = 0, nat = 9, ntyp = 3
/
ATOMIC_SPECIES
Ce 140.12 Ce.upf
Ho 164.93 Ho.upf
Al 26.98 Al.upf
ATOMIC_POSITIONS crystal
Ce 0.333 0.667 0.000
Ce 0.667 0.333 0.000
Ho 0.000 0.000 0.000
Al 0.000 0.332 0.500
Al 0.000 0.668 0.500
Al 0.332 0.000 0.500
Al 0.332 0.332 0.500
Al 0.668 0.000 0.500
Al 0.668 0.668 0.500
CELL_PARAMETERS angstrom
7.987 0.000 0.000
-3.993 6.917 0.000
0.000 0.000 3.506
```

Computed, not measured: crystalline RbBPb at its relaxed geometry at the PBE level of DFT. Values from VASP.

Calculated values
Its space-group type is Amm2. The calculation puts the calculated total energy at -3.57 eV/atom. As for the formation energy: 219 meV per atom.

```
&SYSTEM
  ibrav = 0, nat = 6, ntyp = 3
/
ATOMIC_SPECIES
Rb 85.47 Rb.upf
B 10.81 B.upf
Pb 207.20 Pb.upf
ATOMIC_POSITIONS crystal
Rb 0.000 0.147 0.853
Rb 0.000 0.853 0.147
B 0.256 0.279 0.279
B 0.744 0.279 0.279
Pb 0.500 0.400 0.633
Pb 0.500 0.633 0.400
CELL_PARAMETERS angstrom
3.273 0.000 0.000
0.000 7.811 3.629
0.000 -7.811 3.629
```